(1)
{
  "formula": "LiRe2Br",
  "functional": "PBE",
  "state": "optimized geometry",
  "lattice": [[-0.2676, 3.5386, 0.4417], [-0.5374, -0.4779, 3.5030], [10.8929, 2.1575, 3.7907]],
  "species": ["Re", "Re", "Re", "Re", "Br", "Br", "Li", "Li"],
  "fractional_positions": [[0.6051, 0.1250, 0.2500], [0.1449, 0.6250, 0.2500], [0.3750, 0.3949, 0.7500], [0.8750, 0.8551, 0.7500], [0.0000, 0.0000, 0.0000], [0.7500, 0.2500, 0.5000], [0.5000, 0.5000, 0.0000], [0.2500, 0.7500, 0.5000]],
  "vol_a3_per_atom": 18.32,
  "total_magnetization_mub_per_atom": 0.00,
  "total_energy_ev_per_atom": -6.45,
  "spacegroup": "No. 122",
  "e_form_raw_ev_per_atom": 0.6708
}

(2)
{
  "formula": "KZnCu4",
  "functional": "PBE",
  "state": "optimized geometry",
  "lattice": [[4.2690, 2.6869, 1.0842], [0.3391, 2.6285, 4.4266], [3.1887, -1.6142, 3.7210]],
  "species": ["K", "Zn", "Cu", "Cu", "Cu", "Cu"],
  "fractional_positions": [[0.7500, 0.7500, 0.7500], [0.0000, 0.0000, 0.0000], [0.8792, 0.3736, 0.3736], [0.3736, 0.3736, 0.8792], [0.3736, 0.8792, 0.3736], [0.3736, 0.3736, 0.3736]],
  "vol_a3_per_atom": 16.19,
  "total_magnetization_mub_per_atom": 0.00,
  "ef_ev_per_atom": 0.27,
  "total_energy_ev_per_atom": -2.86,
  "spacegroup": "No. 216"
}

(3)
{
  "formula": "Ta2AgBTe",
  "functional": "PBE",
  "state": "optimized geometry",
  "lattice": [[-1.8686, -1.3611, 4.5135], [0.7928, -4.7983, -1.1188], [4.6449, 0.2982, 2.0129]],
  "species": ["B", "Te", "Ag", "Ta", "Ta"],
  "fractional_positions": [[0.5000, 0.5000, 0.5000], [0.0000, 0.0000, 0.0000], [0.0000, 0.5000, 0.0000], [0.0000, 0.0000, 0.5000], [0.5000, 0.0000, 0.0000]],
  "vol_a3_per_atom": 25.67,
  "total_magnetization_mub_per_atom": 0.00,
  "total_energy_ev_per_atom": -4.81,
  "spacegroup": "No. 123",
  "e_form_raw_ev_per_atom": 2.4603
}

(4)
{
  "formula": "Tl3Cu2Te2",
  "functional": "PBE",
  "state": "optimized geometry",
  "lattice": [[6.8002, 0.0000, 0.0000], [0.0000, 8.7900, 0.0000], [0.0000, 0.0000, 13.3055]],
  "species": ["Tl", "Tl", "Tl", "Tl", "Tl", "Tl", "Tl", "Tl", "Tl", "Tl", "Tl", "Tl", "Cu", "Cu", "Cu", "Cu", "Cu", "Cu", "Cu", "Cu", "Te", "Te", "Te", "Te", "Te", "Te", "Te", "Te"],
  "fractional_positions": [[0.1685, 0.6362, 0.1071], [0.8315, 0.3638, 0.6071], [0.8315, 0.1362, 0.3929], [0.1685, 0.8638, 0.8929], [0.8315, 0.3638, 0.8929], [0.1685, 0.6362, 0.3929], [0.1685, 0.8638, 0.6071], [0.8315, 0.1362, 0.1071], [0.2765, 0.3174, 0.2500], [0.7235, 0.6826, 0.7500], [0.7235, 0.8174, 0.2500], [0.2765, 0.1826, 0.7500], [0.5798, 0.4626, 0.0810], [0.4202, 0.5374, 0.5810], [0.4202, 0.9626, 0.4190], [0.5798, 0.0374, 0.9190], [0.4202, 0.5374, 0.9190], [0.5798, 0.4626, 0.4190], [0.5798, 0.0374, 0.5810], [0.4202, 0.9626, 0.0810], [0.3540, 0.2500, 0.0000], [0.6460, 0.7500, 0.5000], [0.6460, 0.7500, 0.0000], [0.3540, 0.2500, 0.5000], [0.7671, 0.4420, 0.2500], [0.2329, 0.5580, 0.7500], [0.2329, 0.9420, 0.2500], [0.7671, 0.0580, 0.7500]],
  "vol_a3_per_atom": 28.40,
  "total_magnetization_mub_per_atom": 0.00,
  "total_energy_ev_per_atom": -3.15,
  "spacegroup": "No. 57",
  "e_form_raw_ev_per_atom": -0.0674
}